A crystal of Sc4Ag relaxed with PBEsol. Source: Alexandria, functional SCAN.

Cell: 11.1445 3.3860 7.7379 Å, 90.00 131.57 90.00°
Last column: nearest neighbours and their distance in Å.
Space group C2/m (No. 12)
Symmetry-distinct sites (fractional):
Sc 0.0783 0.0000 0.3698 x4  2 Ag 2.92, 5 Sc 3.16-3.26
Sc 0.2326 0.5000 0.8188 x4  2 Ag 2.86, 4 Sc 3.07-3.16
Ag 0.0000 0.5000 0.0000 x2  8 Sc 2.86-2.92

DOS(E_F) ... 1.214 states/eV per atom
Formation energy from the elements ... -0.10 eV per atom
ρ ... 4.37 g cm⁻³